This record from Alexandria via LeMat-Bulk describes MgZr2S2 after structural relaxation. The functional is PBE.

Computed properties:
formation energy from raw total energies	-0.954	eV per atom

a = 7.3344 Å, b = 7.3344 Å, c = 3.3042 Å
α = 90.00°, β = 90.00°, γ = 90.00°
With the nearest neighbours (Å) after each atom.
Fractional coordinates of all 10 atoms:
S1 0.3585 0.8585 0.0000  6 Zr 2.69-2.73, 2 Mg 2.83, 1 S 2.94
S2 0.8585 0.6415 0.0000  6 Zr 2.69-2.73, 2 Mg 2.83, 1 S 2.94
S3 0.6415 0.1415 0.0000  6 Zr 2.69-2.73, 2 Mg 2.83, 1 S 2.94
S4 0.1415 0.3585 0.0000  6 Zr 2.69-2.73, 2 Mg 2.83, 1 S 2.94
Mg1 0.0000 0.0000 0.0000  4 S 2.83
Mg2 0.5000 0.5000 0.0000  4 S 2.83
Zr1 0.1542 0.6542 0.5000  6 S 2.69-2.73
Zr2 0.6542 0.8458 0.5000  6 S 2.69-2.73
Zr3 0.8458 0.3458 0.5000  6 S 2.69-2.73
Zr4 0.3458 0.1542 0.5000  6 S 2.69-2.73

This record from Alexandria via LeMat-Bulk describes LiAg2Pd after structural relaxation. The functional is PBE.

Computed properties:
E above lowest polymorph	0	meV per atom
ΔE_f	-227	meV/atom

a = 4.0207 Å, b = 4.0063 Å, c = 4.0063 Å
α = 90.00°, β = 90.00°, γ = 90.00°
With the nearest neighbours (Å) after each atom.
Fractional coordinates of all 4 atoms:
Pd1 0.5000 0.5000 0.5000  4 Li 2.83, 8 Ag 2.84
Ag1 0.0000 0.0000 0.5000  4 Ag 2.83, 4 Pd 2.84, 4 Li 2.84
Ag2 0.0000 0.5000 0.0000  4 Ag 2.83, 4 Li 2.84, 4 Pd 2.84
Li1 0.5000 0.0000 0.0000  4 Pd 2.83, 8 Ag 2.84